(1)
Ca2AgP | the Alexandria database | PBE | relaxed; space group = Pmmm, No. 47; formation energy = -550 meV/atom
1.0
-3.069 0.558 -2.923
1.174 -3.620 -1.924
-3.773 -3.022 3.384
Ag Ca P
1 2 1
Cartesian
-4.249 -4.176 0.538 Ag
-2.363 -2.665 -1.154 Ca
-3.300 -2.644 2.961 Ca
-1.415 -1.133 1.269 P

***

(2)
Zr6MoAu | the Alexandria database | PBE | relaxed; space group = I4/mmm, No. 139; formation energy = -125 meV/atom
1.0
-4.708 0.169 0.340
-0.178 -4.719 -0.115
-1.907 -2.479 7.705
Zr Au Mo
6 1 1
Cartesian
-4.676 -2.236 1.993 Zr
-2.117 -4.793 5.937 Zr
-4.383 -2.349 6.165 Zr
-4.613 -4.654 4.105 Zr
-2.180 -2.375 3.826 Zr
-2.410 -4.680 1.766 Zr
0.000 0.000 0.000 Au
-2.443 -2.275 0.113 Mo

***

(3)
GaFeCo2B | the Alexandria database | PBE | relaxed; space group = P4/mmm, No. 123; formation energy = -95 meV/atom
1.0
-3.211 0.051 2.014
0.206 -3.762 0.423
2.012 0.469 3.197
Ga B Fe Co
1 1 1 2
Cartesian
-0.497 -1.621 2.817 Ga
0.000 0.000 0.000 B
1.006 0.235 1.598 Fe
-1.606 0.025 1.007 Co
0.103 -1.881 0.211 Co

***

(4)
InTcTe | the Alexandria database | PBE | relaxed; space group = Fmm2, No. 42; E above lowest polymorph = 0.377 eV per atom; E_form (uncorrected) = 0.49 eV per atom
1.0
8.245 -0.010 0.007
7.389 2.998 -0.001
0.856 -1.209 2.755
In Tc Te
1 1 1
Cartesian
15.291 2.890 0.070 In
5.698 0.166 1.854 Tc
11.136 1.710 0.843 Te

***

(5)
SmTh3Tl3Te8 | the Alexandria database | PBE | relaxed; space group = R-3m, No. 166; E_form (uncorrected) = -0.96 eV per atom
1.0
-2.097 -6.625 5.454
-1.035 -0.961 -8.721
9.297 -0.154 3.386
Te Sm Tl Th
8 1 3 3
Cartesian
1.475 -2.248 -2.165 Te
5.697 -2.172 -0.449 Te
0.983 -5.091 4.909 Te
4.138 -5.947 -2.074 Te
2.026 -1.793 2.194 Te
0.467 -5.568 0.569 Te
4.689 -5.492 2.285 Te
5.182 -2.650 -4.789 Te
4.648 -0.077 1.693 Sm
-1.566 -3.793 -1.633 Tl
-0.518 -0.480 -4.360 Tl
0.000 0.000 0.000 Tl
3.082 -3.870 0.060 Th
3.600 -3.390 4.420 Th
4.131 -0.558 -2.667 Th

***

(6)
Zr3CrTc | the Alexandria database | PBE | relaxed; space group = Pm-3m, No. 221; E above lowest polymorph = 0.000 eV per atom; formation energy = 720 meV/atom
1.0
5.015 0.000 0.000
0.000 5.015 0.000
0.000 0.000 5.015
Zr Cr Tc
3 1 1
Cartesian
0.000 2.508 0.000 Zr
0.000 0.000 2.508 Zr
2.508 0.000 0.000 Zr
2.508 2.508 2.508 Cr
0.000 0.000 0.000 Tc

***

What did the fourth record say?
InTcTe | the Alexandria database | PBE | relaxed; space group = Fmm2, No. 42; E above lowest polymorph = 0.377 eV per atom; E_form (uncorrected) = 0.49 eV per atom
1.0
8.245 -0.010 0.007
7.389 2.998 -0.001
0.856 -1.209 2.755
In Tc Te
1 1 1
Cartesian
15.291 2.890 0.070 In
5.698 0.166 1.854 Tc
11.136 1.710 0.843 Te